8
Lattice="2.747 1.178 -6.424 -5.711 -4.134 0.707 -3.277 4.427 -0.590" Properties=species:S:1:pos:R:3 comment="PBE GdTmLu2, optimized geometry" dft_energy_ev_per_fu=-18.17 formation_enthalpy_0k_ev_per_atom=0.0023 pbc="T T T"
Gd -3.711 -1.257 -1.818
Gd -2.530 2.727 -4.489
Tm 0.527 1.404 -5.390
Tm -6.768 0.066 -0.917
Lu -5.385 0.659 -4.148
Lu -2.346 -0.675 -5.034
Lu -3.895 2.145 -1.273
Lu -0.856 0.812 -2.159

8
Lattice="-4.184 -1.986 -3.067 -3.491 -1.794 5.924 -0.946 6.430 -2.872" Properties=species:S:1:pos:R:3 comment="PBE GdTm2Lu, optimized geometry" dft_energy_ev_per_fu=-18.11 formation_enthalpy_0k_ev_per_atom=0.0032 pbc="T T T"
Tm -6.207 -1.920 2.166
Tm -2.414 4.571 -2.182
Tm -4.169 3.669 0.797
Tm -6.683 1.314 0.721
Gd -3.689 0.451 2.225
Gd -4.932 2.200 -2.241
Lu -4.452 -1.018 -0.813
Lu -1.938 1.338 -0.737